# LiCl2 | Alexandria | meta-GGA SCAN | single point on PBEsol structure
data_LiCl2
_cell_length_a 2.627
_cell_length_b 3.388
_cell_length_c 13.225
_cell_angle_alpha 90.00
_cell_angle_beta 90.00
_cell_angle_gamma 90.00
_symmetry_space_group_name_H-M 'I m m m'
_symmetry_Int_Tables_number 71
_symmetry_space_group_name_Hall '-I 2 2'
loop_
_atom_site_label
_atom_site_fract_x
_atom_site_fract_y
_atom_site_fract_z
Li1 0.000 0.000 0.000
Cl1 0.000 0.000 0.378
# - electronic total energy (eV per atom) = -7.13
# - raw formation energy (eV/atom) = -1.017
# - energy relative to the lowest polymorph listed for this composition (meV per atom) = 234